[1]
The following is a PBE-GGA calculation of a geometry-optimized SrLi6GaAg structure, from Alexandria via LeMat-Bulk.

D(E_F): 0.451 states/eV per atom
space-group type: Imma (74)
calculated volume: 432.8 Å³/cell
total DFT energy (no corrections): -2.077 eV/atom
ΔH_f (0 K): 0.039 eV/atom

Cell: 5.6567 10.8458 9.3360 Å, 125.51 107.63 90.00°
Sites, in units of the cell vectors:
Sr 0.8648 0.6148 0.7296
Sr 0.1352 0.3852 0.2704
Li 0.5624 0.8124 0.1248
Li 0.9056 0.1556 0.8112
Li 0.8990 0.1204 0.3107
Li 0.4117 0.6902 0.3107
Li 0.4117 0.1204 0.3107
Li 0.8990 0.6902 0.3107
Li 0.4376 0.1876 0.8752
Li 0.0944 0.8444 0.1888
Li 0.1010 0.8796 0.6893
Li 0.5883 0.3098 0.6893
Li 0.5883 0.8796 0.6893
Li 0.1010 0.3098 0.6893
Ga 0.5000 0.0000 0.5000
Ga 0.0000 0.0000 0.5000
Ag 0.5000 0.5000 0.0000
Ag 0.5000 0.0000 0.0000


[2]
The following is a PBE-GGA calculation of a geometry-optimized Sr2LiGa3Ag12 structure, from Alexandria via LeMat-Bulk.

D(E_F): 0.205 states/eV per atom
space-group type: R-3m (166)
calculated volume: 441.1 Å³/cell
total DFT energy (no corrections): -2.539 eV/atom
ΔH_f (0 K): 0.160 eV/atom

Cell: 8.3433 8.3433 8.3433 Å, 63.35 63.35 63.35°
Sites, in units of the cell vectors:
Sr 0.6171 0.6171 0.6171
Sr 0.3829 0.3829 0.3829
Li 0.0000 0.0000 0.0000
Ga 0.5000 0.0000 0.0000
Ga 0.0000 0.5000 0.0000
Ga 0.0000 0.0000 0.5000
Ag 0.3590 0.3590 0.8927
Ag 0.8753 0.8753 0.3620
Ag 0.3620 0.8753 0.8753
Ag 0.8927 0.3590 0.3590
Ag 0.8753 0.3620 0.8753
Ag 0.3590 0.8927 0.3590
Ag 0.6410 0.6410 0.1073
Ag 0.1247 0.1247 0.6380
Ag 0.6380 0.1247 0.1247
Ag 0.1073 0.6410 0.6410
Ag 0.1247 0.6380 0.1247
Ag 0.6410 0.1073 0.6410


[3]
The following is a PBE-GGA calculation of a geometry-optimized SrLiGa4Ag2 structure, from Alexandria via LeMat-Bulk.

D(E_F): 0.292 states/eV per atom
space-group type: R-3m (166)
calculated volume: 166.1 Å³/cell
total DFT energy (no corrections): -2.928 eV/atom
ΔH_f (0 K): -0.252 eV/atom

Cell: 4.4758 4.4758 9.9141 Å, 76.95 76.95 60.00°
Sites, in units of the cell vectors:
Sr 0.0000 0.0000 0.0000
Li 0.5000 0.5000 0.5000
Ga 0.4033 0.4033 0.7900
Ga 0.8765 0.8765 0.3704
Ga 0.1235 0.1235 0.6296
Ga 0.5967 0.5967 0.2100
Ag 0.7745 0.7745 0.6765
Ag 0.2255 0.2255 0.3235


[4]
The following is a PBE-GGA calculation of a geometry-optimized SrLiGaAg2 structure, from Alexandria via LeMat-Bulk.

D(E_F): 0.475 states/eV per atom
space-group type: I-4m2 (119)
calculated volume: 114.1 Å³/cell
total DFT energy (no corrections): -2.742 eV/atom
ΔH_f (0 K): -0.277 eV/atom

Cell: 4.3667 4.3667 6.7331 Å, 108.92 108.92 90.00°
Sites, in units of the cell vectors:
Sr 0.0000 0.0000 0.0000
Li 0.7500 0.2500 0.5000
Ga 0.2500 0.7500 0.5000
Ag 0.6180 0.6180 0.2359
Ag 0.3820 0.3820 0.7641


[5]
The following is a PBE-GGA calculation of a geometry-optimized LiThGaAg structure, from Alexandria via LeMat-Bulk.

D(E_F): 0.420 states/eV per atom
space-group type: F-43m (216)
calculated volume: 88.2 Å³/cell
total DFT energy (no corrections): -4.030 eV/atom
ΔH_f (0 K): -0.227 eV/atom

Cell: 4.9959 4.9959 4.9959 Å, 60.00 60.00 60.00°
Sites, in units of the cell vectors:
Ga 0.7500 0.7500 0.7500
Ag 0.2500 0.2500 0.2500
Th 0.0000 0.0000 0.0000
Li 0.5000 0.5000 0.5000


[6]
The following is a PBE-GGA calculation of a geometry-optimized LiTlGaAg structure, from Alexandria via LeMat-Bulk.

D(E_F): 0.363 states/eV per atom
space-group type: F-43m (216)
calculated volume: 78.7 Å³/cell
total DFT energy (no corrections): -2.608 eV/atom
ΔH_f (0 K): -0.069 eV/atom

Cell: 4.8109 4.8109 4.8109 Å, 60.00 60.00 60.00°
Sites, in units of the cell vectors:
Tl 0.2500 0.2500 0.2500
Ga 0.5000 0.5000 0.5000
Ag 0.7500 0.7500 0.7500
Li 0.0000 0.0000 0.0000


[7]
The following is a PBE-GGA calculation of a geometry-optimized LiTlGaAg2 structure, from Alexandria via LeMat-Bulk.

D(E_F): 0.401 states/eV per atom
space-group type: P4/mmm (123)
calculated volume: 133.5 Å³/cell
total DFT energy (no corrections): -2.363 eV/atom
ΔH_f (0 K): 0.239 eV/atom

Cell: 4.9889 5.3653 4.9889 Å, 90.00 90.00 90.00°
Sites, in units of the cell vectors:
Tl 0.0000 0.5000 0.0000
Ga 0.0000 0.0000 0.0000
Ag 0.0000 0.0000 0.5000
Ag 0.5000 0.0000 0.0000
Li 0.5000 0.5000 0.5000


[8]
The following is a PBE-GGA calculation of a geometry-optimized LiTmGaAg structure, from Alexandria via LeMat-Bulk.

D(E_F): 0.302 states/eV per atom
space-group type: F-43m (216)
calculated volume: 78.2 Å³/cell
total DFT energy (no corrections): -3.412 eV/atom
ΔH_f (0 K): -0.346 eV/atom

Cell: 4.8007 4.8007 4.8007 Å, 60.00 60.00 60.00°
Sites, in units of the cell vectors:
Tm 0.0000 0.0000 0.0000
Ga 0.2500 0.2500 0.2500
Ag 0.7500 0.7500 0.7500
Li 0.5000 0.5000 0.5000


[9]
The following is a PBE-GGA calculation of a geometry-optimized LiYGaAg structure, from Alexandria via LeMat-Bulk.

D(E_F): 0.304 states/eV per atom
space-group type: F-43m (216)
calculated volume: 81.0 Å³/cell
total DFT energy (no corrections): -3.923 eV/atom
ΔH_f (0 K): -0.359 eV/atom

Cell: 4.8575 4.8575 4.8575 Å, 60.00 60.00 60.00°
Sites, in units of the cell vectors:
Y 0.0000 0.0000 0.0000
Ga 0.7500 0.7500 0.7500
Ag 0.2500 0.2500 0.2500
Li 0.5000 0.5000 0.5000


[10]
The following is a PBE-GGA calculation of a geometry-optimized LiY2GaAg structure, from Alexandria via LeMat-Bulk.

D(E_F): 0.846 states/eV per atom
space-group type: P4/mmm (123)
calculated volume: 120.2 Å³/cell
total DFT energy (no corrections): -3.979 eV/atom
ΔH_f (0 K): 0.165 eV/atom

Cell: 5.2589 4.3447 5.2589 Å, 90.00 90.00 90.00°
Each line ends with the local moment (μB).
Sites, in units of the cell vectors:
Y 0.0000 0.0000 0.5000  0.17
Y 0.5000 0.0000 0.0000  0.17
Ga 0.0000 0.5000 0.0000  -0.01
Ag 0.5000 0.5000 0.5000  0.01
Li 0.0000 0.0000 0.0000  0.02


[11]
The following is a PBE-GGA calculation of a geometry-optimized LiZn2Ga2Ag structure, from Alexandria via LeMat-Bulk.

D(E_F): 0.255 states/eV per atom
space-group type: R-3m (166)
calculated volume: 105.7 Å³/cell
total DFT energy (no corrections): -2.255 eV/atom
ΔH_f (0 K): -0.027 eV/atom

Cell: 4.4087 4.4087 6.7745 Å, 71.01 71.01 60.00°
Sites, in units of the cell vectors:
Li 0.0000 0.0000 0.0000
Zn 0.7854 0.7854 0.6437
Zn 0.2146 0.2146 0.3563
Ga 0.6387 0.6387 0.0840
Ga 0.3613 0.3613 0.9160
Ag 0.5000 0.5000 0.5000


[12]
The following is a PBE-GGA calculation of a geometry-optimized LiZnGa3Ag structure, from Alexandria via LeMat-Bulk.

D(E_F): 0.317 states/eV per atom
space-group type: P2_1/m (11)
calculated volume: 201.7 Å³/cell
total DFT energy (no corrections): -2.617 eV/atom
ΔH_f (0 K): -0.097 eV/atom

Cell: 4.0798 6.3139 8.4906 Å, 112.77 90.00 90.00°
Sites, in units of the cell vectors:
Li 0.2500 0.1274 0.2888
Li 0.7500 0.8726 0.7112
Zn 0.2500 0.1173 0.6169
Zn 0.7500 0.8827 0.3831
Ga 0.7500 0.8821 0.0570
Ga 0.2500 0.1179 0.9430
Ga 0.2500 0.6441 0.4729
Ga 0.7500 0.3559 0.5271
Ga 0.7500 0.3672 0.2043
Ga 0.2500 0.6328 0.7957
Ag 0.2500 0.6254 0.1384
Ag 0.7500 0.3746 0.8616